Entry 1:
Here is crystalline PaV4Au at its relaxed geometry from the Alexandria database. Energies are from PBE.

* space-group type: F-43m (216)
* VASP energy: -0.5916 Ry per atom
* Fermi-level density of states: 8.31 states/eV/f.u.
* formation energy: 159 meV per atom
* total magnetization: 0.0 μB/f.u.

Unit cell a=5.1939 b=5.1939 c=5.1939 alpha=60.00 beta=60.00 gamma=60.00
Closest atoms and distances in Å follow each position.
Positions (direct):
Pa 0.2500 0.2500 0.2500  12 V 3.05, 4 Au 3.18
Au 0.0000 0.0000 0.0000  12 V 3.04, 4 Pa 3.18
V 0.6251 0.6251 0.1246  6 V 2.59-2.60
V 0.6251 0.1246 0.6251  6 V 2.59-2.60
V 0.6251 0.6251 0.6251  6 V 2.59-2.60
V 0.1246 0.6251 0.6251  6 V 2.59-2.60

Entry 2:
Here is crystalline Pa2VAu at its relaxed geometry from the Alexandria database. Energies are from PBE.

* space-group type: R-3m (166)
* VASP energy: -0.5535 Ry per atom
* Fermi-level density of states: 5.87 states/eV/f.u.
* E above lowest polymorph: 242 meV/atom
* formation energy: 316 meV per atom
* total magnetization: 0.0 μB/f.u.

Unit cell a=3.0063 b=3.0063 c=11.0690 alpha=82.20 beta=82.20 gamma=60.00
Closest atoms and distances in Å follow each position.
Positions (direct):
Pa 0.0921 0.0921 0.7236  3 V 3.00, 6 Pa 3.01, 1 Au 3.02
Pa 0.9079 0.9079 0.2764  3 V 3.00, 6 Pa 3.01, 1 Au 3.02
Au 0.0000 0.0000 0.0000  6 Au 3.01, 2 Pa 3.02
V 0.5000 0.5000 0.5000  6 Pa 3.00, 6 V 3.01

Entry 3:
Here is crystalline Pa2VAu at its relaxed geometry from the Alexandria database. Energies are from PBE.

* space-group type: P4/mmm (123)
* VASP energy: -0.5713 Ry per atom
* Fermi-level density of states: 8.08 states/eV/f.u.
* E above lowest polymorph: 0 meV/atom
* formation energy: 74 meV per atom
* total magnetization: 2.1 μB/f.u.

Unit cell a=4.5366 b=4.3072 c=4.3072 alpha=90.00 beta=90.00 gamma=90.00
Closest atoms and distances in Å follow each position.
Positions (direct):
Pa 0.0000 0.0000 0.5000  4 Pa 3.05, 4 Au 3.13, 4 V 3.13
Pa 0.0000 0.5000 0.0000  4 Pa 3.05, 4 Au 3.13, 4 V 3.13
Au 0.5000 0.0000 0.0000  4 V 3.05, 8 Pa 3.13
V 0.5000 0.5000 0.5000  4 Au 3.05, 8 Pa 3.13

Entry 4:
Here is crystalline PaV2Au at its relaxed geometry from the Alexandria database. Energies are from PBE.

* space-group type: P4/mmm (123)
* VASP energy: -0.5625 Ry per atom
* Fermi-level density of states: 7.93 states/eV/f.u.
* formation energy: 100 meV per atom
* total magnetization: 1.7 μB/f.u.

Unit cell a=3.3330 b=4.5565 c=4.5565 alpha=90.00 beta=90.00 gamma=90.00
Closest atoms and distances in Å follow each position.
Positions (direct):
Pa 0.5000 0.0000 0.0000  8 V 2.82
Au 0.5000 0.5000 0.5000  8 V 2.82
V 0.0000 0.0000 0.5000  4 Au 2.82, 4 Pa 2.82
V 0.0000 0.5000 0.0000  4 Au 2.82, 4 Pa 2.82

Entry 5:
Here is crystalline YPaAu2 at its relaxed geometry from the Alexandria database. Energies are from PBE.

* space-group type: Fm-3m (225)
* VASP energy: -0.4464 Ry per atom
* Fermi-level density of states: 6.29 states/eV/f.u.
* E above lowest polymorph: 61 meV/atom
* formation energy: -445 meV per atom
* total magnetization: 0.7 μB/f.u.

Unit cell a=5.1107 b=5.1107 c=5.1107 alpha=60.00 beta=60.00 gamma=60.00
Closest atoms and distances in Å follow each position.
Positions (direct):
Y 0.5000 0.5000 0.5000  8 Au 3.13
Pa 0.0000 0.0000 0.0000  8 Au 3.13
Au 0.2500 0.2500 0.2500  4 Pa 3.13, 4 Y 3.13
Au 0.7500 0.7500 0.7500  4 Pa 3.13, 4 Y 3.13

Entry 6:
Here is crystalline Y2PaAu at its relaxed geometry from the Alexandria database. Energies are from PBE.

* space-group type: P4/mmm (123)
* VASP energy: -0.4924 Ry per atom
* Fermi-level density of states: 6.21 states/eV/f.u.
* formation energy: -274 meV per atom
* total magnetization: 0.1 μB/f.u.

Unit cell a=3.5267 b=3.5267 c=8.2687 alpha=90.00 beta=90.00 gamma=90.00
Closest atoms and distances in Å follow each position.
Positions (direct):
Y 0.0000 0.0000 0.7778  4 Au 3.10, 4 Pa 3.39
Y 0.0000 0.0000 0.2222  4 Au 3.10, 4 Pa 3.39
Pa 0.5000 0.5000 0.5000  8 Y 3.39, 4 Pa 3.53
Au 0.5000 0.5000 0.0000  8 Y 3.10

Entry 7:
Here is crystalline YPaAu2 at its relaxed geometry from the Alexandria database. Energies are from PBE.

* space-group type: P4/mmm (123)
* VASP energy: -0.4509 Ry per atom
* Fermi-level density of states: 4.96 states/eV/f.u.
* E above lowest polymorph: 0 meV/atom
* formation energy: -506 meV per atom
* total magnetization: 1.6 μB/f.u.

Unit cell a=3.4766 b=3.4766 c=7.7386 alpha=90.00 beta=90.00 gamma=90.00
Closest atoms and distances in Å follow each position.
Positions (direct):
Y 0.5000 0.5000 0.5000  8 Au 3.09
Pa 0.5000 0.5000 0.0000  8 Au 3.17, 4 Pa 3.48
Au 0.0000 0.0000 0.7414  4 Y 3.09, 4 Pa 3.17
Au 0.0000 0.0000 0.2586  4 Y 3.09, 4 Pa 3.17

Entry 8:
Here is crystalline YPaAu4 at its relaxed geometry from the Alexandria database. Energies are from PBE.

* space-group type: C2/m (12)
* VASP energy: -0.4005 Ry per atom
* Fermi-level density of states: 5.72 states/eV/f.u.
* formation energy: -604 meV per atom
* total magnetization: 0.6 μB/f.u.

Unit cell a=3.6548 b=5.3058 c=7.6571 alpha=99.38 beta=76.19 gamma=69.85
Closest atoms and distances in Å follow each position.
Positions (direct):
Y 0.5000 0.5000 0.5000  10 Au 3.06-3.07
Pa 0.0000 0.0000 0.0000  10 Au 3.07-3.08
Au 0.8336 0.5013 0.8315  5 Au 3.05-3.10, 3 Pa 3.07-3.08, 2 Y 3.07
Au 0.3342 0.9988 0.3329  5 Au 3.05-3.08, 3 Y 3.06-3.07, 2 Pa 3.08
Au 0.1664 0.4987 0.1685  5 Au 3.05-3.10, 3 Pa 3.07-3.08, 2 Y 3.07
Au 0.6658 0.0012 0.6671  5 Au 3.05-3.08, 3 Y 3.06-3.07, 2 Pa 3.08